1.
Density functional theory data (PBE) for an optimized crystal structure of LiSb2Te.

POSCAR file:
```
LiSb2Te
1.0
3.2426 0.0000 0.0000
0.0000 3.2426 0.0000
0.0000 0.0000 9.5104
Li Sb Te
1 2 1
Cartesian
0.0000 0.0000 0.0000 Li
1.6213 1.6213 1.7676 Sb
1.6213 1.6213 7.7428 Sb
0.0000 0.0000 4.7552 Te
```

Output
calculated density = 6.28 g/cm³
volume = 99.99 Å³/cell
total DFT energy (no corrections) = -3.376 eV/atom
crystal system = tetragonal

=====

2.
Density functional theory data (PBE) for an optimized crystal structure of TiGa5Co6.

POSCAR file:
```
TiGa5Co6
1.0
2.0530 -6.1568 0.0000
2.0530 6.1568 0.0000
0.0000 0.0000 5.7538
Ti Ga Co
1 5 6
Cartesian
0.0000 0.0000 0.0000 Ti
0.0000 0.0000 2.8769 Ga
2.0530 2.0449 2.8769 Ga
2.0530 2.0146 0.0000 Ga
2.0530 -2.0146 0.0000 Ga
2.0530 -2.0449 2.8769 Ga
2.0530 4.0895 1.4440 Co
2.0530 4.0895 4.3099 Co
2.0530 0.0000 1.4654 Co
2.0530 0.0000 4.2884 Co
2.0530 -4.0895 1.4440 Co
2.0530 -4.0895 4.3099 Co
```

Output
formation energy = -0.361 eV per atom
calculated density = 8.56 g/cm³
volume = 145.45 Å³/cell
total DFT energy (no corrections) = -5.833 eV/atom
crystal system = orthorhombic